(1)
! LaVBi2 (PBE-GGA, relaxed); values from VASP
! space-group type: I-42d, No. 122
! DFT formation energy: 0.205 eV per atom
! size of the total moment: 3.98 μB per cell
! E above lowest polymorph: 0.318 eV per atom
&SYSTEM
  ibrav = 0, nat = 8, ntyp = 3
/
ATOMIC_SPECIES
La 138.91 La.upf
Bi 208.98 Bi.upf
V 50.94 V.upf
ATOMIC_POSITIONS crystal
La 0.0000 0.0000 0.0000
La 0.7500 0.2500 0.5000
Bi 0.5505 0.1250 0.2500
Bi 0.1995 0.6250 0.2500
Bi 0.3750 0.4495 0.7500
Bi 0.8750 0.8005 0.7500
V 0.5000 0.5000 0.0000
V 0.2500 0.7500 0.5000
CELL_PARAMETERS angstrom
-5.0324 2.4969 -2.9263
-0.0476 -4.8586 -4.0639
-7.2360 -5.0957 1.2404

(2)
! SrY2Ta (PBE-GGA, relaxed); values from VASP
! space-group type: Fm-3m, No. 225
! DFT formation energy: 0.617 eV per atom
! size of the total moment: 3.73 μB per cell
! E above lowest polymorph: 0.258 eV per atom
&SYSTEM
  ibrav = 0, nat = 4, ntyp = 3
/
ATOMIC_SPECIES
Y 88.91 Y.upf
Sr 87.62 Sr.upf
Ta 180.95 Ta.upf
ATOMIC_POSITIONS crystal
Y 0.2500 0.2500 0.2500
Y 0.7500 0.7500 0.7500
Sr 0.0000 0.0000 0.0000
Ta 0.5000 0.5000 0.5000
CELL_PARAMETERS angstrom
0.0000 3.9088 3.9088
3.9088 0.0000 3.9088
3.9088 3.9088 0.0000